[1]
# ZrMnCo10

Crystalline ZrMnCo10 at its relaxed geometry (PBE, Alexandria via LeMat-Bulk).

Values from the calculation:
The value obtained for the formation enthalpy at 0 K is 0.07 eV per atom. As for the volume: 153.6 Å³/cell. The value obtained for the density of states at the Fermi level is 1.316 states/eV per atom. As for the total magnetization: 19.0 μB per formula unit. Its crystal system is orthorhombic. The total energy comes out at -87.992 eV/f.u.

Geometry as extended XYZ:
```
12
Lattice="4.0020 0.0000 0.0000 0.0000 4.7136 0.0000 0.0000 0.0000 8.1399" Properties=species:S:1:pos:R:3 pbc="T T T"
Zr 0.0000 0.0000 0.0000
Mn 0.0000 2.3568 4.0700
Co 0.0000 0.0000 2.7850
Co 0.0000 0.0000 5.3549
Co 0.0000 2.3568 1.4857
Co 0.0000 2.3568 6.6543
Co 2.0010 0.0000 4.0700
Co 2.0010 1.1732 2.0317
Co 2.0010 1.1732 6.1082
Co 2.0010 2.3568 0.0000
Co 2.0010 3.5404 2.0317
Co 2.0010 3.5404 6.1082
```

[2]
# ZrMn2Co

Crystalline ZrMn2Co at its relaxed geometry (PBE, Alexandria via LeMat-Bulk).

Values from the calculation:
The value obtained for the formation enthalpy at 0 K is -0.05 eV per atom. As for the volume: 58.2 Å³/cell. The value obtained for the density of states at the Fermi level is 0.652 states/eV per atom. As for the total magnetization: 2.3 μB per formula unit. Its crystal system is tetragonal. The total energy comes out at -34.174 eV/f.u.

Geometry as extended XYZ:
```
4
Lattice="3.0738 0.0000 0.0000 0.0000 3.0738 0.0000 0.0000 0.0000 6.1651" Properties=species:S:1:pos:R:3 pbc="T T T"
Zr 0.0000 0.0000 0.0000
Mn 0.0000 0.0000 3.0173
Mn 1.5369 1.5369 4.3265
Co 1.5369 1.5369 1.6497
```

[3]
# ZrMn2Co9

Crystalline ZrMn2Co9 at its relaxed geometry (PBE, Alexandria via LeMat-Bulk).

Values from the calculation:
The value obtained for the formation enthalpy at 0 K is -0.04 eV per atom. As for the volume: 151.4 Å³/cell. The value obtained for the density of states at the Fermi level is 1.156 states/eV per atom. As for the total magnetization: 20.6 μB per formula unit. Its crystal system is trigonal. The total energy comes out at -91.280 eV/f.u.

Geometry as extended XYZ:
```
12
Lattice="2.3768 1.3723 7.7351 -2.3768 1.3723 7.7351 0.0000 -2.7445 7.7351" Properties=species:S:1:pos:R:3 pbc="T T T"
Zr 0.0000 0.0000 0.0000
Mn 0.0000 0.0000 3.3426
Mn 0.0000 0.0000 19.8627
Co -1.2172 -0.7028 9.7265
Co 0.0000 0.0000 7.7902
Co 0.0000 -1.4055 13.4788
Co -1.2172 0.7028 13.4788
Co 0.0000 0.0000 11.6026
Co 1.2172 -0.7028 9.7265
Co 0.0000 1.4055 9.7265
Co 0.0000 0.0000 15.4151
Co 1.2172 0.7028 13.4788
```

[4]
# ZrMn2Co

Crystalline ZrMn2Co at its relaxed geometry (PBE, Alexandria via LeMat-Bulk).

Values from the calculation:
The value obtained for the formation enthalpy at 0 K is 0.01 eV per atom. As for the volume: 56.6 Å³/cell. The value obtained for the density of states at the Fermi level is 0.824 states/eV per atom. As for the total magnetization: 3.2 μB per formula unit. Its crystal system is orthorhombic. The total energy comes out at -33.941 eV/f.u.

Geometry as extended XYZ:
```
4
Lattice="3.1524 0.0000 0.0000 0.0000 4.2250 0.0000 0.0000 0.0000 4.2490" Properties=species:S:1:pos:R:3 pbc="T T T"
Zr 0.0000 0.0000 0.0000
Mn 0.0000 2.1125 2.1245
Mn 1.5762 2.1125 0.0000
Co 1.5762 0.0000 2.1245
```

[5]
# ZrMnCo

Crystalline ZrMnCo at its relaxed geometry (PBE, Alexandria via LeMat-Bulk).

Values from the calculation:
Its polymorph energy (0 for the lowest one) is 38.86 kJ/mol of atoms. The value obtained for the formation enthalpy at 0 K is 0.15 eV per atom. As for the volume: 52.1 Å³/cell. The value obtained for the density of states at the Fermi level is 0.849 states/eV per atom. As for the total magnetization: 3.5 μB per formula unit. Its crystal system is cubic. The total energy comes out at -24.385 eV/f.u.

Geometry as extended XYZ:
```
3
Lattice="0.0000 2.9646 2.9646 2.9646 0.0000 2.9646 2.9646 2.9646 0.0000" Properties=species:S:1:pos:R:3 pbc="T T T"
Zr 0.0000 0.0000 0.0000
Mn 2.9646 2.9646 2.9646
Co 4.4470 4.4470 4.4470
```

[6]
# ZrMnCo2

Crystalline ZrMnCo2 at its relaxed geometry (PBE, Alexandria via LeMat-Bulk).

Values from the calculation:
The value obtained for the formation enthalpy at 0 K is 0.02 eV per atom. As for the volume: 55.2 Å³/cell. The value obtained for the density of states at the Fermi level is 1.120 states/eV per atom. As for the total magnetization: 4.8 μB per formula unit. Its crystal system is cubic. The total energy comes out at -31.851 eV/f.u.

Geometry as extended XYZ:
```
4
Lattice="0.0000 3.0220 3.0220 3.0220 0.0000 3.0220 3.0220 3.0220 0.0000" Properties=species:S:1:pos:R:3 pbc="T T T"
Zr 0.0000 0.0000 0.0000
Mn 1.5110 1.5110 1.5110
Co 3.0220 3.0220 3.0220
Co 4.5330 4.5330 4.5330
```

- Look up the formation enthalpy at 0 K of the sixth one.
  0.02 eV per atom

- Look up the formation enthalpy at 0 K of the fifth one.
  0.15 eV per atom

Please write out number 6 again, unchanged.
# ZrMnCo2

Crystalline ZrMnCo2 at its relaxed geometry (PBE, Alexandria via LeMat-Bulk).

Values from the calculation:
The value obtained for the formation enthalpy at 0 K is 0.02 eV per atom. As for the volume: 55.2 Å³/cell. The value obtained for the density of states at the Fermi level is 1.120 states/eV per atom. As for the total magnetization: 4.8 μB per formula unit. Its crystal system is cubic. The total energy comes out at -31.851 eV/f.u.

Geometry as extended XYZ:
```
4
Lattice="0.0000 3.0220 3.0220 3.0220 0.0000 3.0220 3.0220 3.0220 0.0000" Properties=species:S:1:pos:R:3 pbc="T T T"
Zr 0.0000 0.0000 0.0000
Mn 1.5110 1.5110 1.5110
Co 3.0220 3.0220 3.0220
Co 4.5330 4.5330 4.5330
```